Entry from the Alexandria database: CrIrAu2 after structural relaxation (PBE).

Results
ΔH_f (0 K), eV/atom: 0.139
Symmetry: R3m, No. 160
Total moment, μB/f.u.: 0.001
Offset from the most stable computed form, meV/atom: 65

a = 9.534 Å, b = 9.534 Å, c = 9.534 Å
α = 16.80°, β = 16.80°, γ = 16.80°
Atoms (fractional coordinates):
1 Cr 0.000 0.000 0.000
2 Ir 0.266 0.266 0.266
3 Au 0.509 0.509 0.509
4 Au 0.748 0.748 0.748